DFT (GGA-PBE) results for a relaxed CsPrMgS3 crystal.

Lattice parameters (Å, degrees): 9.5276 4.2731 10.1706 90.00 108.40 90.00
Positions (direct):
1 Cs 0.2052 0.2500 0.2289
2 Cs 0.7948 0.7500 0.7711
3 Pr 0.3346 0.7500 0.8610
4 Pr 0.6654 0.2500 0.1390
5 Mg 0.0838 0.2500 0.6077
6 Mg 0.9162 0.7500 0.3923
7 S 0.1278 0.2500 0.8543
8 S 0.1792 0.7500 0.5433
9 S 0.4678 0.7500 0.1489
10 S 0.5322 0.2500 0.8511
11 S 0.8208 0.2500 0.4567
12 S 0.8722 0.7500 0.1457

Properties
- Calculated volume: 32.74 Å³ per atom
- ΔE_f (raw): -1.66 eV/atom
- SG: P2_1/m, No. 11
- Raw total energy: -4.925 eV per atom